Here is a geometry-optimized Ta2SiW structure from the Alexandria database. Energies are from PBE-GGA.

Output
Total DFT energy (no corrections) (eV/atom): -10.703
Formation energy from raw total energies (eV per atom): -0.18

a b c (Å): 3.3650 4.6080 8.4768
angles (deg): 90.00 90.00 90.00
With the nearest neighbours (Å) after each atom.
Space group Cmmm (No. 65)
One atom of each set of equivalent atoms:
Ta: 0.0000 0.0000 0.2349 [4 per cell]  2 Si 2.61, 2 W 2.81, 4 Ta 2.85
Si: 0.0000 0.5000 0.0000 [2 per cell]  4 Ta 2.61, 4 Si 2.85
W: 0.0000 0.5000 0.5000 [2 per cell]  4 Ta 2.81, 4 W 2.85